La2PuP4Pt3: relaxed, PBE-GGA.

E_form (eV/atom): -1.014

Geometry as CIF:
```
data_La2PuP4Pt3
_chemical_formula_sum 'La2 Pu1 P4 Pt3'
_cell_length_a 4.4007
_cell_length_b 4.4007
_cell_length_c 10.2298
_cell_angle_alpha 90.00
_cell_angle_beta 90.00
_cell_angle_gamma 90.00
_symmetry_space_group_name_H-M 'P -4 m 2'
_symmetry_Int_Tables_number 115
_symmetry_space_group_name_Hall 'P -4 -2'
loop_
_atom_site_label
_atom_site_type_symbol
_atom_site_fract_x
_atom_site_fract_y
_atom_site_fract_z
La1 La 0.0000 0.5000 0.2299
Pu1 Pu 0.0000 0.0000 0.5000
P1 P 0.0000 0.0000 0.0000
P2 P 0.0000 0.5000 0.6583
P3 P 0.5000 0.5000 0.0000
Pt1 Pt 0.0000 0.5000 0.8985
Pt2 Pt 0.5000 0.5000 0.5000
```